--- A ---
Below is an optimized crystal structure of PmHoGeAu, with properties calculated at the PBE level.

Values from the calculation:
DOS at the Fermi energy in states/eV/atom: 0.6060
Total moment in μB per formula unit: 0.0
Space-group type: No. 38

Unit cell a=4.088 b=4.359 c=5.913 alpha=90.00 beta=110.23 gamma=90.00
Fractional positions:
Ge  0.587  0.500  0.174
Pm  0.858  0.500  0.716
Ho  0.136  0.000  0.272
Au  0.419  0.000  0.838



--- B ---
Below is an optimized crystal structure of PmHoGeAu, with properties calculated at the PBE level.

Values from the calculation:
DOS at the Fermi energy in states/eV/atom: 0.9559
Total moment in μB per formula unit: 0.6
Space-group type: No. 216

Unit cell a=5.135 b=5.135 c=5.135 alpha=60.00 beta=60.00 gamma=60.00
Each line ends with the local moment (μB).
Fractional positions:
Ge  0.250  0.250  0.250  -0.02
Ho  0.000  0.000  0.000  0.23
Pm  0.500  0.500  0.500  0.18
Au  0.750  0.750  0.750  0.04



Stability ranking, top entry: A; the second entry is 0.094 eV/atom less favorable.



--- A ---
Below is an optimized crystal structure of TbHoGeAu, with properties calculated at the PBE level.

Values from the calculation:
DOS at the Fermi energy in states/eV/atom: 0.9744
Total moment in μB per formula unit: 0.5
Space-group type: No. 216

Unit cell a=5.077 b=5.077 c=5.077 alpha=60.00 beta=60.00 gamma=60.00
Each line ends with the local moment (μB).
Fractional positions:
Au  0.750  0.750  0.750  0.03
Tb  0.000  0.000  0.000  0.17
Ge  0.250  0.250  0.250  -0.01
Ho  0.500  0.500  0.500  0.17



--- B ---
Below is an optimized crystal structure of TbHoGeAu, with properties calculated at the PBE level.

Values from the calculation:
DOS at the Fermi energy in states/eV/atom: 0.5634
Total moment in μB per formula unit: 0.0
Space-group type: No. 38

Unit cell a=4.048 b=4.319 c=5.828 alpha=90.00 beta=110.32 gamma=90.00
Fractional positions:
Ge  0.587  0.500  0.173
Ho  0.138  0.000  0.276
Tb  0.860  0.500  0.720
Au  0.416  0.000  0.831



Stability ranking, top entry: B; the second entry is 0.111 eV/atom less favorable.